Entry 1:
Entry from Alexandria via LeMat-Bulk: Ge at its PBEsol-relaxed geometry (meta-GGA SCAN).

Output
Energy of formation from the pure elements in eV/atom: 0.00
Energy above the lowest structure with this stoichiometry in eV/f.u.: 0.00

Cell lengths 5.663, 5.663, 5.663 Å; angles 90.00, 90.00, 90.00 degrees
Space group Fd-3m (No. 227, origin choice 2)
Inequivalent atoms, fractional coordinates:
Ge1 0.125 0.125 0.125 x8

Entry 2:
Entry from Alexandria via LeMat-Bulk: Hf2GeH2 at its PBEsol-relaxed geometry (meta-GGA SCAN).

Output
DFT total energy in eV for the cell shown: -304.09

Cell lengths 6.408, 6.408, 2.968 Å; angles 90.00, 90.00, 90.00 degrees
Space group P4/mbm (No. 127)
Inequivalent atoms, fractional coordinates:
Hf1 0.162 0.338 0.000 x4
Ge1 0.000 0.000 0.500 x2
H1 0.099 0.599 0.500 x4

Entry 3:
Entry from Alexandria via LeMat-Bulk: Hf3GeH at its PBEsol-relaxed geometry (meta-GGA SCAN).

Output
DFT total energy in eV for the cell shown: -212.40

Cell lengths 4.274, 4.274, 4.274 Å; angles 90.00, 90.00, 90.00 degrees
Space group Pm-3m (No. 221)
Inequivalent atoms, fractional coordinates:
Hf1 0.000 0.000 0.500 x3
Ge1 0.500 0.500 0.500 x1
H1 0.000 0.000 0.000 x1

Entry 4:
Entry from Alexandria via LeMat-Bulk: HfGeH2Os at its PBEsol-relaxed geometry (meta-GGA SCAN).

Output
DFT total energy in eV for the cell shown: -159.22

Cell lengths 3.636, 3.636, 4.758 Å; angles 90.00, 90.00, 90.00 degrees
Space group P4/mmm (No. 123)
Inequivalent atoms, fractional coordinates:
Hf1 0.000 0.000 0.000 x1
Ge1 0.500 0.500 0.000 x1
H1 0.000 0.500 0.500 x2
Os1 0.500 0.500 0.500 x1

Entry 5:
Entry from Alexandria via LeMat-Bulk: Hf2GeHPb at its PBEsol-relaxed geometry (meta-GGA SCAN).

Output
DFT total energy in eV for the cell shown: -217.19

Cell lengths 4.977, 4.977, 5.358 Å; angles 90.00, 90.00, 90.00 degrees
Space group P4/mmm (No. 123)
Inequivalent atoms, fractional coordinates:
Hf1 0.000 0.500 0.000 x2
Ge1 0.000 0.000 0.000 x1
H1 0.500 0.500 0.500 x1
Pb1 0.000 0.000 0.500 x1

Entry 6:
Entry from Alexandria via LeMat-Bulk: Hg3GeH at its PBEsol-relaxed geometry (meta-GGA SCAN).

Output
DFT total energy in eV for the cell shown: -224.16

Cell lengths 4.524, 4.524, 4.524 Å; angles 90.00, 90.00, 90.00 degrees
Space group Pm-3m (No. 221)
Inequivalent atoms, fractional coordinates:
Hg1 0.000 0.000 0.500 x3
Ge1 0.500 0.500 0.500 x1
H1 0.000 0.000 0.000 x1

Entry 7:
Entry from Alexandria via LeMat-Bulk: Hg2GeHN at its PBEsol-relaxed geometry (meta-GGA SCAN).

Output
DFT total energy in eV for the cell shown: -161.42

Cell lengths 4.160, 4.160, 4.434 Å; angles 90.00, 90.00, 90.00 degrees
Space group P4/mmm (No. 123)
Inequivalent atoms, fractional coordinates:
Hg1 0.000 0.500 0.000 x2
Ge1 0.000 0.000 0.500 x1
H1 0.000 0.000 0.000 x1
N1 0.500 0.500 0.500 x1

Entry 8:
Entry from Alexandria via LeMat-Bulk: HgGeSb2H at its PBEsol-relaxed geometry (meta-GGA SCAN).

Output
DFT total energy in eV for the cell shown: -163.82

Cell lengths 5.549, 5.549, 3.382 Å; angles 90.00, 90.00, 90.00 degrees
Space group P4/mmm (No. 123)
Inequivalent atoms, fractional coordinates:
Hg1 0.000 0.000 0.000 x1
Ge1 0.500 0.500 0.500 x1
Sb1 0.000 0.500 0.500 x2
H1 0.500 0.500 0.000 x1

Entry 9:
Entry from Alexandria via LeMat-Bulk: GeH3I at its PBEsol-relaxed geometry (meta-GGA SCAN).

Output
DFT total energy in eV for the cell shown: -59.79

Cell lengths 4.057, 4.057, 4.057 Å; angles 90.00, 90.00, 90.00 degrees
Space group Pm-3m (No. 221)
Inequivalent atoms, fractional coordinates:
Ge1 0.000 0.000 0.000 x1
H1 0.000 0.500 0.500 x3
I1 0.500 0.500 0.500 x1

Entry 10:
Entry from Alexandria via LeMat-Bulk: Ge2HI at its PBEsol-relaxed geometry (meta-GGA SCAN).

Output
DFT total energy in eV for the cell shown: -296.96

Cell lengths 6.851, 6.851, 6.851 Å; angles 90.00, 90.00, 90.00 degrees
Space group Fm-3m (No. 225)
Inequivalent atoms, fractional coordinates:
Ge1 0.250 0.250 0.250 x8
H1 0.000 0.000 0.000 x4
I1 0.000 0.000 0.500 x4

Entry 11:
Entry from Alexandria via LeMat-Bulk: GeHIO2 at its PBEsol-relaxed geometry (meta-GGA SCAN).

Output
DFT total energy in eV for the cell shown: -67.72

Cell lengths 4.216, 4.216, 3.476 Å; angles 90.00, 90.00, 90.00 degrees
Space group P4/mmm (No. 123)
Inequivalent atoms, fractional coordinates:
Ge1 0.000 0.000 0.000 x1
H1 0.500 0.500 0.500 x1
I1 0.500 0.500 0.000 x1
O1 0.000 0.500 0.500 x2

Entry 12:
Entry from Alexandria via LeMat-Bulk: GeSbHI2 at its PBEsol-relaxed geometry (meta-GGA SCAN).

Output
DFT total energy in eV for the cell shown: -130.37

Cell lengths 5.486, 5.486, 3.875 Å; angles 90.00, 90.00, 90.00 degrees
Space group P4/mmm (No. 123)
Inequivalent atoms, fractional coordinates:
Ge1 0.000 0.000 0.000 x1
Sb1 0.500 0.500 0.000 x1
H1 0.500 0.500 0.500 x1
I1 0.000 0.500 0.500 x2

Entry 13:
Entry from Alexandria via LeMat-Bulk: GeTeHI2 at its PBEsol-relaxed geometry (meta-GGA SCAN).

Output
DFT total energy in eV for the cell shown: -130.10

Cell lengths 5.677, 5.677, 5.389 Å; angles 90.00, 90.00, 90.00 degrees
Space group P4/mmm (No. 123)
Inequivalent atoms, fractional coordinates:
Ge1 0.000 0.000 0.000 x1
Te1 0.000 0.000 0.500 x1
H1 0.500 0.500 0.500 x1
I1 0.000 0.500 0.000 x2